No. 1
A relaxed structure of Y2ZrP, computed with PBEsol.

Values from the calculation:
Density of states at the Fermi level, states/eV/atom: 1.369
Spin magnetization, μB per formula unit: 0.00
Formation energy from the elements, eV/atom: -0.68

Lattice parameters (Å, degrees): 3.621 3.621 9.167 78.61 78.61 60.00
Atoms (fractional coordinates):
P 0.245 0.245 0.266
Y 0.974 0.974 0.077
Y 0.758 0.758 0.726
Zr 0.523 0.523 0.431

=====

No. 2
A relaxed structure of Ni3Sb, computed with PBEsol.

Values from the calculation:
Formation energy from raw total energies, meV/atom: -171
Density of states at the Fermi level, states/eV/atom: 0.726
Spin magnetization, μB per formula unit: 0.00
Excess energy over the best structure of this formula in the dataset, eV per atom: 0.0116

Lattice parameters (Å, degrees): 3.705 3.705 4.461 114.54 114.54 90.00
Atoms (fractional coordinates):
Sb 0.000 0.000 0.000
Ni 0.750 0.250 0.500
Ni 0.500 0.500 0.000
Ni 0.250 0.750 0.500

=====

No. 3
A relaxed structure of Cu2RePt, computed with PBEsol.

Values from the calculation:
Density of states at the Fermi level, states/eV/atom: 1.031
Spin magnetization, μB per formula unit: 0.00
Excess energy over the best structure of this formula in the dataset, eV per atom: 0.2368
Formation energy from the elements, eV/atom: 0.26

Lattice parameters (Å, degrees): 2.608 4.655 4.655 110.49 90.00 90.00
Atoms (fractional coordinates):
Cu 0.000 0.500 0.000
Cu 0.000 0.000 0.500
Pt 0.500 0.000 0.000
Re 0.500 0.500 0.500